Computed, not measured: a relaxed LiPW2I crystal at the PBE-GGA level of DFT. Values from VASP.

```
&SYSTEM
  ibrav = 0, nat = 5, ntyp = 4
/
ATOMIC_SPECIES
W 183.84 W.upf
P 30.97 P.upf
Li 6.94 Li.upf
I 126.90 I.upf
ATOMIC_POSITIONS crystal
W 0.500 0.000 0.000
W 0.000 0.000 0.500
P 0.000 0.000 0.000
Li 0.500 0.500 0.500
I 0.000 0.500 0.000
CELL_PARAMETERS angstrom
4.473 0.000 0.000
0.000 7.231 0.000
0.000 0.000 4.473
```

Computed properties:
As for the space group: P4/mmm (123). The total energy is -5.80 eV per atom. The density of states at the Fermi level comes out at 3.9 states/eV per cell. The value obtained for the uncorrected formation energy is 1.157 eV per atom.